<P>
{"formula": "ReHgTe2N", "functional": "PBE-GGA", "state": "optimized geometry", "space_group": "P4/mmm, No. 123", "lattice_angstrom": [[-1.187, 5.059, -1.830], [-3.980, 0.435, 3.784], [2.463, 1.455, 2.424]], "species": ["Te", "Te", "Re", "Hg", "N"], "fractional_positions": [[0.000, 0.500, 0.000], [0.500, 0.000, 0.000], [0.000, 0.000, 0.000], [0.500, 0.500, 0.500], [0.000, 0.000, 0.500]]}

=====

<Q>
{"formula": "ReHgTe2N", "functional": "PBE-GGA", "state": "optimized geometry", "space_group": "P4/mmm, No. 123", "lattice_angstrom": [[5.116, 0.000, 0.000], [0.000, 5.376, 0.000], [0.000, 0.000, 5.116]], "species": ["Re", "Te", "Te", "Hg", "N"], "fractional_positions": [[0.000, 0.000, 0.000], [0.000, 0.000, 0.500], [0.500, 0.000, 0.000], [0.000, 0.500, 0.000], [0.500, 0.500, 0.500]]}

=====

Most stable: <P>. Least stable: <Q>.

=====

<P>
{"formula": "ReHgTeN2", "functional": "PBE-GGA", "state": "optimized geometry", "space_group": "P4/mmm, No. 123", "lattice_angstrom": [[-2.298, 1.148, -3.314], [2.804, -1.779, -2.561], [-3.298, -5.666, 0.324]], "species": ["Hg", "Te", "N", "N", "Re"], "fractional_positions": [[0.000, 0.000, 0.000], [0.000, 0.000, 0.500], [0.000, 0.500, 0.000], [0.500, 0.000, 0.000], [0.500, 0.500, 0.500]]}

=====

<Q>
{"formula": "ReHgTeN2", "functional": "PBE-GGA", "state": "optimized geometry", "space_group": "P4/mmm, No. 123", "lattice_angstrom": [[-2.811, 0.155, 2.756], [-2.297, -2.313, -2.213], [2.283, -4.749, 2.595]], "species": ["Te", "N", "N", "Hg", "Re"], "fractional_positions": [[0.000, 0.000, 0.500], [0.500, 0.000, 0.000], [0.000, 0.500, 0.000], [0.500, 0.500, 0.500], [0.000, 0.000, 0.000]]}

=====

Most stable: <Q>. Least stable: <P>.

=====

<P>
{"formula": "HgRh2N", "functional": "PBE-GGA", "state": "optimized geometry", "space_group": "I-42d, No. 122", "lattice_angstrom": [[6.368, 0.000, 0.000], [0.000, 6.368, 0.000], [3.184, 3.184, 3.108]], "species": ["Rh", "Rh", "Rh", "Rh", "N", "N", "Hg", "Hg"], "fractional_positions": [[0.375, 0.505, 0.750], [0.495, 0.125, 0.250], [0.255, 0.625, 0.250], [0.875, 0.745, 0.750], [0.500, 0.500, 0.000], [0.250, 0.750, 0.500], [0.750, 0.250, 0.500], [0.000, 0.000, 0.000]]}

=====

<Q>
{"formula": "HgRh2N", "functional": "PBE-GGA", "state": "optimized geometry", "space_group": "Fm-3m, No. 225", "lattice_angstrom": [[1.923, -3.522, 1.736], [-0.859, -1.147, 4.130], [-2.353, -3.590, 0.828]], "species": ["Rh", "Rh", "N", "Hg"], "fractional_positions": [[0.250, 0.250, 0.250], [0.750, 0.750, 0.750], [0.000, 0.000, 0.000], [0.500, 0.500, 0.500]]}

=====

Most stable: <P>. Least stable: <Q>.

=====

<P>
{"formula": "HgRhSeN2", "functional": "PBE-GGA", "state": "optimized geometry", "space_group": "P4/mmm, No. 123", "lattice_angstrom": [[-0.163, -3.953, 0.881], [3.752, 0.184, 1.520], [-2.285, 1.316, 5.481]], "species": ["Se", "N", "N", "Rh", "Hg"], "fractional_positions": [[0.000, 0.000, 0.500], [0.000, 0.500, 0.000], [0.500, 0.000, 0.000], [0.500, 0.500, 0.500], [0.000, 0.000, 0.000]]}

=====

<Q>
{"formula": "HgRhSeN2", "functional": "PBE-GGA", "state": "optimized geometry", "space_group": "P4/mmm, No. 123", "lattice_angstrom": [[3.857, 0.000, 0.000], [0.000, 3.857, 0.000], [0.000, 0.000, 5.661]], "species": ["N", "N", "Se", "Rh", "Hg"], "fractional_positions": [[0.000, 0.500, 0.000], [0.500, 0.000, 0.000], [0.000, 0.000, 0.500], [0.000, 0.000, 0.000], [0.500, 0.500, 0.500]]}

=====

Most stable: <Q>. Least stable: <P>.

=====

<P>
{"formula": "HgTeRhN2", "functional": "PBE-GGA", "state": "optimized geometry", "space_group": "P4/mmm, No. 123", "lattice_angstrom": [[3.960, 0.000, 0.000], [0.000, 3.960, 0.000], [0.000, 0.000, 5.793]], "species": ["Hg", "Rh", "N", "N", "Te"], "fractional_positions": [[0.500, 0.500, 0.500], [0.000, 0.000, 0.000], [0.500, 0.000, 0.000], [0.000, 0.500, 0.000], [0.000, 0.000, 0.500]]}

=====

<Q>
{"formula": "HgTeRhN2", "functional": "PBE-GGA", "state": "optimized geometry", "space_group": "P4/mmm, No. 123", "lattice_angstrom": [[-2.333, -3.173, -1.115], [2.766, -1.040, -2.832], [3.035, -3.758, 4.345]], "species": ["Hg", "N", "N", "Rh", "Te"], "fractional_positions": [[0.000, 0.000, 0.000], [0.000, 0.500, 0.000], [0.500, 0.000, 0.000], [0.500, 0.500, 0.500], [0.000, 0.000, 0.500]]}

=====

Most stable: <P>. Least stable: <Q>.

=====

<P>
{"formula": "HgTe2RhN", "functional": "PBE-GGA", "state": "optimized geometry", "space_group": "P4/mmm, No. 123", "lattice_angstrom": [[5.630, 0.000, 0.000], [0.000, 5.630, 0.000], [0.000, 0.000, 3.645]], "species": ["Te", "Te", "Hg", "N", "Rh"], "fractional_positions": [[0.000, 0.500, 0.000], [0.500, 0.000, 0.000], [0.500, 0.500, 0.500], [0.000, 0.000, 0.500], [0.000, 0.000, 0.000]]}

=====

<Q>
{"formula": "HgTe2RhN", "functional": "PBE-GGA", "state": "optimized geometry", "space_group": "P4/mmm, No. 123", "lattice_angstrom": [[-4.720, 2.487, -1.877], [-1.749, -4.934, -2.140], [-1.798, -0.840, 3.407]], "species": ["Hg", "Rh", "N", "Te", "Te"], "fractional_positions": [[0.000, 0.000, 0.000], [0.500, 0.500, 0.500], [0.000, 0.000, 0.500], [0.000, 0.500, 0.000], [0.500, 0.000, 0.000]]}

=====

<R>
{"formula": "HgTe2RhN", "functional": "PBE-GGA", "state": "optimized geometry", "space_group": "P4/mmm, No. 123", "lattice_angstrom": [[-0.440, 4.902, 2.433], [-5.139, -0.387, -0.149], [0.041, -2.438, 4.919]], "species": ["N", "Te", "Te", "Hg", "Rh"], "fractional_positions": [[0.500, 0.500, 0.500], [0.000, 0.000, 0.500], [0.500, 0.000, 0.000], [0.000, 0.000, 0.000], [0.000, 0.500, 0.000]]}

=====

Most stable: <P>. Least stable: <R>.

=====

<P>
{"formula": "HgRuS2N", "functional": "PBE-GGA", "state": "optimized geometry", "space_group": "P4/mmm, No. 123", "lattice_angstrom": [[-2.351, -2.602, -3.432], [-2.163, -2.668, 3.504], [-2.784, 2.386, 0.098]], "species": ["S", "S", "N", "Hg", "Ru"], "fractional_positions": [[0.000, 0.500, 0.000], [0.500, 0.000, 0.000], [0.000, 0.000, 0.500], [0.500, 0.500, 0.500], [0.000, 0.000, 0.000]]}

=====

<Q>
{"formula": "HgRuS2N", "functional": "PBE-GGA", "state": "optimized geometry", "space_group": "P4/mmm, No. 123", "lattice_angstrom": [[5.074, 0.000, 0.000], [0.000, 5.074, 0.000], [0.000, 0.000, 3.978]], "species": ["Hg", "N", "S", "S", "Ru"], "fractional_positions": [[0.000, 0.000, 0.000], [0.000, 0.000, 0.500], [0.500, 0.000, 0.000], [0.000, 0.500, 0.000], [0.500, 0.500, 0.500]]}

=====

Most stable: <P>. Least stable: <Q>.

=====

<P>
{"formula": "HgRuSN2", "functional": "PBE-GGA", "state": "optimized geometry", "space_group": "P4/mmm, No. 123", "lattice_angstrom": [[3.813, 0.000, 0.000], [0.000, 3.813, 0.000], [0.000, 0.000, 5.340]], "species": ["N", "N", "S", "Hg", "Ru"], "fractional_positions": [[0.000, 0.500, 0.000], [0.500, 0.000, 0.000], [0.000, 0.000, 0.500], [0.500, 0.500, 0.500], [0.000, 0.000, 0.000]]}

=====

<Q>
{"formula": "HgRuSN2", "functional": "PBE-GGA", "state": "optimized geometry", "space_group": "P4/mmm, No. 123", "lattice_angstrom": [[-3.713, -1.546, -0.036], [0.871, -2.168, 3.274], [-1.888, 4.455, 3.452]], "species": ["Hg", "S", "N", "N", "Ru"], "fractional_positions": [[0.000, 0.000, 0.000], [0.000, 0.000, 0.500], [0.000, 0.500, 0.000], [0.500, 0.000, 0.000], [0.500, 0.500, 0.500]]}

=====

Most stable: <P>. Least stable: <Q>.

=====

<P>
{"formula": "HgTeRuN2", "functional": "PBE-GGA", "state": "optimized geometry", "space_group": "P4/mmm, No. 123", "lattice_angstrom": [[3.927, 0.000, 0.000], [0.000, 3.927, 0.000], [0.000, 0.000, 5.782]], "species": ["N", "N", "Hg", "Ru", "Te"], "fractional_positions": [[0.000, 0.500, 0.000], [0.500, 0.000, 0.000], [0.500, 0.500, 0.500], [0.000, 0.000, 0.000], [0.000, 0.000, 0.500]]}

=====

<Q>
{"formula": "HgTeRuN2", "functional": "PBE-GGA", "state": "optimized geometry", "space_group": "P4/mmm, No. 123", "lattice_angstrom": [[4.012, 0.000, 0.000], [0.000, 4.012, 0.000], [0.000, 0.000, 6.653]], "species": ["Hg", "N", "N", "Te", "Ru"], "fractional_positions": [[0.000, 0.000, 0.000], [0.500, 0.000, 0.000], [0.000, 0.500, 0.000], [0.000, 0.000, 0.500], [0.500, 0.500, 0.500]]}

=====

Most stable: <P>. Least stable: <Q>.

=====

<P>
{"formula": "HgSN2", "functional": "PBE-GGA", "state": "optimized geometry", "space_group": "Fm-3m, No. 225", "lattice_angstrom": [[-2.515, 2.247, 2.382], [-2.722, 2.579, -1.728], [-4.035, -0.865, 0.134]], "species": ["N", "N", "Hg", "S"], "fractional_positions": [[0.750, 0.750, 0.750], [0.250, 0.250, 0.250], [0.500, 0.500, 0.500], [0.000, 0.000, 0.000]]}

=====

<Q>
{"formula": "HgSN2", "functional": "PBE-GGA", "state": "optimized geometry", "space_group": "R-3m, No. 166", "lattice_angstrom": [[2.166, 0.000, 5.894], [-1.083, 1.876, 5.894], [-1.083, -1.876, 5.894]], "species": ["Hg", "N", "N", "S"], "fractional_positions": [[0.500, 0.500, 0.500], [0.088, 0.088, 0.088], [0.912, 0.912, 0.912], [0.000, 0.000, 0.000]]}

=====

<R>
{"formula": "HgSN2", "functional": "PBE-GGA", "state": "optimized geometry", "space_group": "I-42d, No. 122", "lattice_angstrom": [[4.844, 0.000, 0.000], [0.000, 4.844, 0.000], [2.422, 2.422, 4.947]], "species": ["Hg", "Hg", "N", "N", "N", "N", "S", "S"], "fractional_positions": [[0.750, 0.250, 0.500], [0.000, 0.000, 0.000], [0.375, 0.467, 0.750], [0.533, 0.125, 0.250], [0.875, 0.783, 0.750], [0.217, 0.625, 0.250], [0.500, 0.500, 0.000], [0.250, 0.750, 0.500]]}

=====

<S>
{"formula": "HgSN2", "functional": "PBE-GGA", "state": "optimized geometry", "space_group": "R-3m, No. 166", "lattice_angstrom": [[1.602, 0.000, 7.876], [-0.801, 1.387, 7.876], [-0.801, -1.387, 7.876]], "species": ["N", "N", "S", "Hg"], "fractional_positions": [[0.875, 0.875, 0.875], [0.125, 0.125, 0.125], [0.500, 0.500, 0.500], [0.000, 0.000, 0.000]]}

=====

Most stable: <S>. Least stable: <P>.

=====

<P>
{"formula": "Hg3SN", "functional": "PBE-GGA", "state": "optimized geometry", "space_group": "P2_1/m, No. 11", "lattice_angstrom": [[4.458, -0.519, 0.243], [0.933, 6.113, -4.032], [2.890, -6.668, 15.779]], "species": ["Hg", "Hg", "Hg", "Hg", "Hg", "Hg", "S", "S", "N", "N"], "fractional_positions": [[0.308, 0.792, 0.154], [0.708, 0.282, 0.253], [0.660, 0.018, 0.801], [0.314, 0.199, 0.648], [0.055, 0.101, 0.407], [0.060, 0.508, 0.901], [0.797, 0.498, 0.664], [0.571, 0.802, 0.390], [0.839, 0.809, 0.123], [0.530, 0.491, 0.932]]}

=====

<Q>
{"formula": "Hg3SN", "functional": "PBE-GGA", "state": "optimized geometry", "space_group": "Pm-3m, No. 221", "lattice_angstrom": [[4.700, 0.000, 0.000], [0.000, 4.700, 0.000], [0.000, 0.000, 4.700]], "species": ["Hg", "Hg", "Hg", "S", "N"], "fractional_positions": [[0.500, 0.000, 0.000], [0.000, 0.000, 0.500], [0.000, 0.500, 0.000], [0.500, 0.500, 0.500], [0.000, 0.000, 0.000]]}

=====

Most stable: <P>. Least stable: <Q>.

=====

<P>
{"formula": "Hg2SN2", "functional": "PBE-GGA", "state": "optimized geometry", "space_group": "P4/mbm, No. 127", "lattice_angstrom": [[6.460, 0.000, 0.000], [0.000, 6.460, 0.000], [0.000, 0.000, 4.069]], "species": ["N", "N", "N", "N", "Hg", "Hg", "Hg", "Hg", "S", "S"], "fractional_positions": [[0.773, 0.273, 0.000], [0.727, 0.773, 0.000], [0.227, 0.727, 0.000], [0.273, 0.227, 0.000], [0.839, 0.339, 0.500], [0.339, 0.161, 0.500], [0.161, 0.661, 0.500], [0.661, 0.839, 0.500], [0.500, 0.500, 0.000], [0.000, 0.000, 0.000]]}

=====

<Q>
{"formula": "Hg2SN2", "functional": "PBE-GGA", "state": "optimized geometry", "space_group": "I4/mmm, No. 139", "lattice_angstrom": [[-1.501, -2.335, -4.257], [4.169, -2.903, 0.122], [-0.630, -5.348, 0.122]], "species": ["Hg", "Hg", "N", "N", "S"], "fractional_positions": [[0.250, 0.750, 0.500], [0.750, 0.250, 0.500], [0.430, 0.430, 0.140], [0.570, 0.570, 0.860], [0.000, 0.000, 0.000]]}

=====

Most stable: <Q>. Least stable: <P>.